[1]
A relaxed PaCo2Ge2 crystal, computed with GGA-PBE.

```
10
Lattice="-5.479 -1.210 -0.449 3.556 0.615 -4.319 2.298 -5.839 2.611" Properties=species:S:1:pos:R:3 pbc="T T T"
Pa -0.961 -0.298 -2.384
Pa -2.071 -3.674 -0.111
Co 0.102 -5.179 -2.203
Co 0.273 -1.255 0.046
Co 2.173 -1.506 -2.093
Co 2.720 -4.016 -2.000
Ge 1.777 0.256 -3.557
Ge -3.700 -0.851 -1.211
Ge 4.225 -2.402 -2.808
Ge 0.668 -3.120 -1.284
```

Its total energy is -70.39 eV for the cell shown. For the volume, the calculation gives 16.26 A^3/atom. Its space group is Fddd, No. 70.


[2]
A relaxed TbMgIn3 crystal, computed with GGA-PBE.

```
10
Lattice="3.346 0.000 0.000 0.000 10.367 0.000 0.000 0.000 8.168" Properties=species:S:1:pos:R:3 pbc="T T T"
Tb 0.000 2.592 7.384
Tb 0.000 7.775 0.784
Mg 1.673 2.592 2.251
Mg 1.673 7.775 5.917
In 1.673 4.176 5.094
In 1.673 0.000 0.000
In 1.673 1.008 5.094
In 1.673 6.191 3.074
In 1.673 5.183 0.000
In 1.673 9.359 3.074
```

Its total energy is -29.94 eV for the cell shown. For the volume, the calculation gives 28.33 A^3/atom. Its space group is Pmma, No. 51.


[3]
A relaxed CsYAg2 crystal, computed with GGA-PBE.

```
8
Lattice="-5.750 6.320 1.276 -6.084 -4.753 -3.877 -6.891 -0.804 2.174" Properties=species:S:1:pos:R:3 pbc="T T T"
Cs 0.000 0.000 0.000
Cs -9.279 3.150 1.075
Y -5.917 0.783 -1.300
Y -9.446 -2.387 -1.502
Ag -5.785 2.834 0.791
Ag -6.536 -2.060 -1.655
Ag -9.915 -0.257 0.458
Ag -15.213 1.009 -0.448
```

Its total energy is -22.92 eV for the cell shown. For the volume, the calculation gives 36.77 A^3/atom. Its space group is I-42d, No. 122.


[4]
A relaxed PaCo crystal, computed with GGA-PBE.

```
2
Lattice="-3.788 0.104 -0.039 -1.981 -2.283 2.285 -1.886 1.446 2.952" Properties=species:S:1:pos:R:3 pbc="T T T"
Pa -3.828 -0.367 2.599
Co 0.000 0.000 0.000
```

Its total energy is -17.20 eV for the cell shown. For the volume, the calculation gives 19.24 A^3/atom. Its space group is Fm-3m, No. 225.


[5]
A relaxed Ce3YEr2Te6 crystal, computed with GGA-PBE.

```
12
Lattice="-1.346 -4.776 -5.705 5.683 -1.337 4.805 -6.004 -1.823 4.612" Properties=species:S:1:pos:R:3 pbc="T T T"
Ce 1.522 -2.816 5.377
Ce -3.189 -5.121 -1.665
Ce -0.834 -3.968 1.856
Y 0.000 0.000 0.000
Er 3.342 -2.483 1.304
Er 0.995 -3.631 -2.205
Te -2.494 -6.570 1.075
Te 1.805 -4.969 0.418
Te 0.827 -1.366 2.637
Te -0.134 -5.415 4.605
Te -3.473 -2.968 3.294
Te -1.534 -2.521 -0.893
```

For the volume, the calculation gives 30.37 A^3/atom. Its space group is C2/m, No. 12. The value obtained for the raw formation energy is -1.32 eV/atom.


[6]
A relaxed Ac6PuTe8 crystal, computed with GGA-PBE.

```
15
Lattice="-2.026 -6.204 6.795 0.772 -9.240 -1.674 6.904 -4.962 4.059" Properties=species:S:1:pos:R:3 pbc="T T T"
Ac 3.838 -7.101 1.192
Ac -1.013 -3.102 3.398
Ac -0.627 -7.722 2.560
Ac 3.452 -2.481 2.030
Ac 0.386 -4.620 -0.837
Ac 2.439 -5.583 5.427
Pu 0.000 0.000 0.000
Te 4.238 -15.305 6.885
Te 1.413 -5.102 2.295
Te 0.345 -8.158 5.718
Te 5.306 -12.248 3.462
Te 4.911 -7.523 4.319
Te 0.740 -12.883 4.862
Te 3.875 -10.696 7.794
Te 1.775 -9.710 1.386
```

For the volume, the calculation gives 39.43 A^3/atom. Its space group is Fm-3m, No. 225. The value obtained for the raw formation energy is -1.46 eV/atom.


[7]
A relaxed ThB2Ir crystal, computed with GGA-PBE.

```
4
Lattice="3.752 0.000 0.000 1.876 3.249 0.000 1.876 1.083 4.820" Properties=species:S:1:pos:R:3 pbc="T T T"
B 1.876 1.083 0.542
B 5.627 3.249 4.278
Ir 0.000 0.000 0.000
Th 3.752 2.166 2.410
```

Its total energy is -31.39 eV for the cell shown. For the volume, the calculation gives 14.69 A^3/atom. Its space group is R-3m, No. 166.


[8]
A relaxed FeRhW crystal, computed with GGA-PBE.

```
3
Lattice="4.259 0.000 0.000 -2.130 3.688 0.000 0.000 0.000 2.668" Properties=species:S:1:pos:R:3 pbc="T T T"
Fe 0.000 0.000 2.308
Rh 0.000 2.459 0.885
W 2.130 1.229 2.142
```

For the volume, the calculation gives 13.97 A^3/atom. For the energy above the most stable polymorph in this dataset, the calculation gives 0.29 eV per formula unit. Its space group is P3m1, No. 156.


[9]
A relaxed LaAlZn2Si crystal, computed with GGA-PBE.

```
5
Lattice="4.256 0.000 0.000 0.000 4.243 0.000 -2.128 -2.122 5.353" Properties=species:S:1:pos:R:3 pbc="T T T"
La 0.000 0.000 4.680
Al 0.000 2.122 2.057
Zn 2.128 0.000 2.043
Zn 0.000 0.000 0.639
Si 2.128 2.122 3.559
```

For the volume, the calculation gives 19.33 A^3/atom. Its space group is Imm2, No. 44. The value obtained for the raw formation energy is -0.46 eV/atom.


[10]
A relaxed KCuAg2 crystal, computed with GGA-PBE.

```
4
Lattice="-7.715 5.357 2.072 -8.795 2.415 3.054 -6.974 4.255 5.077" Properties=species:S:1:pos:R:3 pbc="T T T"
Ag -23.056 11.808 10.018
Ag -12.169 6.232 5.287
Cu -5.871 3.007 2.551
K -17.613 9.020 7.653
```

For the volume, the calculation gives 22.03 A^3/atom. For the energy above the most stable polymorph in this dataset, the calculation gives 0.66 eV per formula unit. Its space group is R-3m, No. 166.


[11]
A relaxed Cu2Pd2Pt crystal, computed with GGA-PBE.

```
10
Lattice="7.042 0.000 0.000 0.000 7.042 0.000 0.000 0.000 2.903" Properties=species:S:1:pos:R:3 pbc="T T T"
Cu 2.639 6.160 0.000
Cu 6.160 4.403 0.000
Cu 4.403 0.882 0.000
Cu 0.882 2.639 0.000
Pd 1.214 4.735 1.452
Pd 4.735 5.828 1.452
Pd 5.828 2.307 1.452
Pd 2.307 1.214 1.452
Pt 0.000 0.000 0.000
Pt 3.521 3.521 0.000
```

For the volume, the calculation gives 14.40 A^3/atom. For the energy above the most stable polymorph in this dataset, the calculation gives 0.37 eV per formula unit. Its space group is P4/mbm, No. 127.


[12]
A relaxed Zn2AsPb crystal, computed with GGA-PBE.

```
4
Lattice="4.984 0.000 0.000 2.492 4.317 0.000 2.492 1.439 4.070" Properties=species:S:1:pos:R:3 pbc="T T T"
As 4.984 2.878 2.035
Pb 2.492 1.439 1.017
Zn 0.000 0.000 0.000
Zn 7.476 4.317 3.052
```

Its total energy is -9.91 eV for the cell shown. For the volume, the calculation gives 21.89 A^3/atom. Its space group is F-43m, No. 216.